w:
ErTmAsO | GGA-PBE | optimized geometry

calculated volume: 159 Å³/cell
total moment: 0.002 μB per atom

a b c (Å): 4.2980 4.2980 8.6231
angles (deg): 90.00 90.00 90.00
With the nearest neighbours (Å) after each atom.
Space group P4/nmm (No. 129, origin choice 2)
Unique sites:
Er  0.2500  0.2500  0.0994 x2  4 O 2.31
Tm  0.2500  0.7500  0.5000 x2  4 As 2.78, 4 Tm 3.04
As  0.2500  0.2500  0.7051 x2  4 Tm 2.78
O  0.2500  0.7500  0.0000 x2  4 Er 2.31

x:
ErTmAsO | GGA-PBE | optimized geometry

calculated volume: 180 Å³/cell
total moment: 0.002 μB per atom

a b c (Å): 4.1108 7.4794 5.8507
angles (deg): 90.00 90.00 90.00
With the nearest neighbours (Å) after each atom.
Space group Pmc2_1 (No. 26)
Unique sites:
Er  0.0000  0.2136  0.0000 x2  2 O 2.26
Tm  0.5000  0.3877  0.5742 x2  2 O 2.19-2.25
As  0.0000  0.1600  0.4888 x2  2 Tm 2.72, 3 Er 2.79-3.02
O  0.5000  0.3304  0.9407 x2  2 Tm 2.19-2.25, 2 Er 2.26

y:
ErTmAsO | GGA-PBE | optimized geometry

calculated volume: 179 Å³/cell
total moment: 0.001 μB per atom

a b c (Å): 4.0901 7.5585 5.7981
angles (deg): 90.00 90.00 90.00
With the nearest neighbours (Å) after each atom.
Space group Pmc2_1 (No. 26)
Unique sites:
Er  0.0000  0.1142  0.0000 x2  2 O 2.21-2.29
Tm  0.5000  0.2858  0.4313 x2  2 O 2.24
As  0.5000  0.3448  0.9199 x2  2 Er 2.73, 3 Tm 2.79-3.00
O  0.0000  0.1724  0.3741 x2  2 Er 2.21-2.29, 2 Tm 2.24

How far above the most stable structure does each one sit? In kJ/mol of atoms: w 7.6; x 0.0; y 0.8.

w:
Er3AsS2 | GGA-PBE | optimized geometry

calculated volume: 259 Å³/cell
total moment: 0.001 μB per atom

a b c (Å): 3.9430 5.5721 11.7936
angles (deg): 90.00 90.00 90.00
With the nearest neighbours (Å) after each atom.
Space group Immm (No. 71)
Unique sites:
Er  0.0000  0.0000  0.0000 x2  4 S 2.78, 2 As 2.79
Er  0.0000  0.0000  0.3312 x4  4 S 2.77-2.79, 2 As 2.80
As  0.0000  0.5000  0.0000 x2  6 Er 2.79-2.80
S  0.0000  0.5000  0.3339 x4  6 Er 2.77-2.79

x:
Er3AsS2 | GGA-PBE | optimized geometry

calculated volume: 130 Å³/cell
total moment: 0.001 μB per atom

a b c (Å): 3.9498 3.9498 9.5854
angles (deg): 90.00 90.00 120.00
With the nearest neighbours (Å) after each atom.
Space group P-3m1 (No. 164)
Unique sites:
Er  0.0000  0.0000  0.0000 x1  6 S 2.75
Er  0.3333  0.6667  0.6722 x2  3 S 2.78, 3 As 2.82
As  0.0000  0.0000  0.5000 x1  6 Er 2.82
S  0.3333  0.6667  0.1611 x2  6 Er 2.75-2.78

How far above the most stable structure does each one sit? In kJ/mol of atoms: w 0.0; x 0.9.

w:
Er3As2Se | GGA-PBE | optimized geometry

calculated volume: 284 Å³/cell
total moment: 0.001 μB per atom

a b c (Å): 4.0655 5.7375 12.1843
angles (deg): 90.00 90.00 90.00
With the nearest neighbours (Å) after each atom.
Space group Immm (No. 71)
Unique sites:
Er  0.0000  0.0000  0.0000 x2  4 As 2.86, 2 Se 2.87
Er  0.0000  0.0000  0.3271 x4  4 As 2.83-2.87, 2 Se 2.93
As  0.0000  0.5000  0.3350 x4  6 Er 2.83-2.87
Se  0.0000  0.5000  0.0000 x2  6 Er 2.87-2.93

x:
Er3As2Se | GGA-PBE | optimized geometry

calculated volume: 143 Å³/cell
total moment: 0.000 μB per atom

a b c (Å): 4.0640 4.0640 9.9657
angles (deg): 90.00 90.00 120.00
With the nearest neighbours (Å) after each atom.
Space group P-3m1 (No. 164)
Unique sites:
Er  0.0000  0.0000  0.0000 x1  6 As 2.88
Er  0.3333  0.6667  0.6777 x2  3 As 2.81, 3 Se 2.94
As  0.3333  0.6667  0.1668 x2  6 Er 2.81-2.88
Se  0.0000  0.0000  0.5000 x1  6 Er 2.94

How far above the most stable structure does each one sit? In kJ/mol of atoms: w 0.0; x 0.8.

w:
GaFeAs | GGA-PBE | optimized geometry

calculated volume: 187 Å³/cell
total moment: 0.403 μB per atom

a b c (Å): 5.7196 5.7196 5.7196
angles (deg): 90.00 90.00 90.00
With the nearest neighbours (Å) after each atom.
Space group F-43m (No. 216)
Unique sites:
Ga  0.0000  0.0000  0.0000 x4  4 Fe 2.48
Fe  0.2500  0.2500  0.7500 x4  4 As 2.48, 4 Ga 2.48
As  0.0000  0.0000  0.5000 x4  4 Fe 2.48

x:
GaFeAs | GGA-PBE | optimized geometry

calculated volume: 209 Å³/cell
total moment: 0.666 μB per atom

a b c (Å): 5.9318 5.9318 5.9318
angles (deg): 90.00 90.00 90.00
With the nearest neighbours (Å) after each atom.
Space group F-43m (No. 216)
Unique sites:
Ga  0.0000  0.0000  0.0000 x4  4 As 2.57
Fe  0.0000  0.0000  0.5000 x4  4 As 2.57
As  0.2500  0.2500  0.7500 x4  4 Fe 2.57, 4 Ga 2.57

How far above the most stable structure does each one sit? In kJ/mol of atoms: w 0.0; x 33.3.

w:
NaFeGeAs | GGA-PBE | optimized geometry

calculated volume: 269 Å³/cell
total moment: 0.569 μB per atom

a b c (Å): 6.4560 6.4560 6.4560
angles (deg): 90.00 90.00 90.00
With the nearest neighbours (Å) after each atom.
Space group F-43m (No. 216)
Unique sites:
Na  0.0000  0.0000  0.0000 x4  4 Ge 2.80, 4 As 2.80
Fe  0.0000  0.0000  0.5000 x4  4 As 2.80, 4 Ge 2.80
Ge  0.2500  0.2500  0.7500 x4  4 Fe 2.80, 4 Na 2.80
As  0.2500  0.2500  0.2500 x4  4 Na 2.80, 4 Fe 2.80

x:
NaFeGeAs | GGA-PBE | optimized geometry

calculated volume: 287 Å³/cell
total moment: 0.648 μB per atom

a b c (Å): 6.5955 6.5955 6.5955
angles (deg): 90.00 90.00 90.00
With the nearest neighbours (Å) after each atom.
Space group F-43m (No. 216)
Unique sites:
Na  0.0000  0.0000  0.0000 x4  4 Ge 2.86, 4 Fe 2.86
Fe  0.2500  0.2500  0.2500 x4  4 As 2.86, 4 Na 2.86
Ge  0.2500  0.2500  0.7500 x4  4 As 2.86, 4 Na 2.86
As  0.0000  0.0000  0.5000 x4  4 Ge 2.86, 4 Fe 2.86

How far above the most stable structure does each one sit? In kJ/mol of atoms: w 0.0; x 21.2.

w:
HfFeHgAs | GGA-PBE | optimized geometry

calculated volume: 283 Å³/cell
total moment: 0.404 μB per atom

a b c (Å): 6.5637 6.5637 6.5637
angles (deg): 90.00 90.00 90.00
With the nearest neighbours (Å) after each atom.
Space group F-43m (No. 216)
Unique sites:
Hf  0.0000  0.0000  0.0000 x4  4 Hg 2.84, 4 As 2.84
Fe  0.0000  0.0000  0.5000 x4  4 As 2.84, 4 Hg 2.84
Hg  0.2500  0.2500  0.7500 x4  4 Hf 2.84, 4 Fe 2.84
As  0.2500  0.2500  0.2500 x4  4 Hf 2.84, 4 Fe 2.84

x:
HfFeHgAs | GGA-PBE | optimized geometry

calculated volume: 284 Å³/cell
total moment: 0.309 μB per atom

a b c (Å): 6.5713 6.5713 6.5713
angles (deg): 90.00 90.00 90.00
With the nearest neighbours (Å) after each atom.
Space group F-43m (No. 216)
Unique sites:
Hf  0.0000  0.0000  0.0000 x4  4 Hg 2.85, 4 Fe 2.85
Fe  0.2500  0.2500  0.7500 x4  4 Hf 2.85, 4 As 2.85
Hg  0.2500  0.2500  0.2500 x4  4 Hf 2.85, 4 As 2.85
As  0.0000  0.0000  0.5000 x4  4 Hg 2.85, 4 Fe 2.85

How far above the most stable structure does each one sit? In kJ/mol of atoms: w 0.0; x 19.4.

w:
LiHfFeAs | GGA-PBE | optimized geometry

calculated volume: 247 Å³/cell
total moment: 0.393 μB per atom

a b c (Å): 6.2742 6.2742 6.2742
angles (deg): 90.00 90.00 90.00
With the nearest neighbours (Å) after each atom.
Space group F-43m (No. 216)
Unique sites:
Li  0.0000  0.0000  0.0000 x4  4 As 2.72, 4 Fe 2.72
Hf  0.0000  0.0000  0.5000 x4  4 As 2.72, 4 Fe 2.72
Fe  0.2500  0.2500  0.2500 x4  4 Hf 2.72, 4 Li 2.72
As  0.2500  0.2500  0.7500 x4  4 Hf 2.72, 4 Li 2.72

x:
LiHfFeAs | GGA-PBE | optimized geometry

calculated volume: 214 Å³/cell
total moment: 0.001 μB per atom

a b c (Å): 5.9798 5.9798 5.9798
angles (deg): 90.00 90.00 90.00
With the nearest neighbours (Å) after each atom.
Space group F-43m (No. 216)
Unique sites:
Li  0.0000  0.0000  0.0000 x4  4 As 2.59, 4 Hf 2.59
Hf  0.2500  0.2500  0.7500 x4  4 Fe 2.59, 4 Li 2.59
Fe  0.0000  0.0000  0.5000 x4  4 Hf 2.59, 4 As 2.59
As  0.2500  0.2500  0.2500 x4  4 Fe 2.59, 4 Li 2.59

How far above the most stable structure does each one sit? In kJ/mol of atoms: w 20.4; x 0.0.

w:
NaHfFeAs | GGA-PBE | optimized geometry

calculated volume: 242 Å³/cell
total moment: 0.001 μB per atom

a b c (Å): 6.2303 6.2303 6.2303
angles (deg): 90.00 90.00 90.00
With the nearest neighbours (Å) after each atom.
Space group F-43m (No. 216)
Unique sites:
Na  0.0000  0.0000  0.0000 x4  4 Hf 2.70, 4 As 2.70
Hf  0.2500  0.2500  0.7500 x4  4 Fe 2.70, 4 Na 2.70
Fe  0.0000  0.0000  0.5000 x4  4 As 2.70, 4 Hf 2.70
As  0.2500  0.2500  0.2500 x4  4 Na 2.70, 4 Fe 2.70

x:
NaHfFeAs | GGA-PBE | optimized geometry

calculated volume: 279 Å³/cell
total moment: 0.409 μB per atom

a b c (Å): 6.5359 6.5359 6.5359
angles (deg): 90.00 90.00 90.00
With the nearest neighbours (Å) after each atom.
Space group F-43m (No. 216)
Unique sites:
Na  0.0000  0.0000  0.0000 x4  4 As 2.83, 4 Fe 2.83
Hf  0.0000  0.0000  0.5000 x4  4 As 2.83, 4 Fe 2.83
Fe  0.2500  0.2500  0.2500 x4  4 Hf 2.83, 4 Na 2.83
As  0.2500  0.2500  0.7500 x4  4 Hf 2.83, 4 Na 2.83

How far above the most stable structure does each one sit? In kJ/mol of atoms: w 0.0; x 0.6.